Here is a relaxed structure of KCu2As from Alexandria via LeMat-Bulk. Energies are from PBE.

Cell: 4.124 4.777 5.341 Å, 90.00 90.00 90.00°
Atoms (fractional coordinates):
K 0.000 0.000 0.000
Cu 0.500 0.248 0.500
Cu 0.500 0.752 0.500
As 0.000 0.500 0.500

The value obtained for the electronic total energy is -13.66 eV/cell. The space-group type is No. 47.


Here is a relaxed structure of KCuAs2 from Alexandria via LeMat-Bulk. Energies are from PBE.

Cell: 5.291 5.291 5.291 Å, 129.85 129.85 73.65°
Atoms (fractional coordinates):
K 0.000 0.000 0.000
Cu 0.750 0.250 0.500
As 0.250 0.750 0.500
As 0.500 0.500 0.000

The value obtained for the electronic total energy is -12.92 eV/cell. The space-group type is No. 119. The relative energy among the computed polymorphs is 0.530 eV/atom.


Here is a relaxed structure of KCuAs2 from Alexandria via LeMat-Bulk. Energies are from PBE.

Cell: 5.718 5.718 2.782 Å, 90.00 90.00 114.68°
Atoms (fractional coordinates):
K 0.000 0.000 0.000
Cu 0.500 0.500 0.000
As 0.000 0.500 0.500
As 0.500 0.000 0.500

The value obtained for the electronic total energy is -13.31 eV/cell. The space-group type is No. 65. The relative energy among the computed polymorphs is 0.433 eV/atom.


Here is a relaxed structure of KCu9As4 from Alexandria via LeMat-Bulk. Energies are from PBE.

Cell: 8.568 8.568 8.568 Å, 121.81 121.81 86.89°
Atoms (fractional coordinates):
K 0.250 0.250 0.000
K 0.750 0.750 0.000
Cu 0.000 0.500 0.500
Cu 0.060 0.560 0.266
Cu 0.061 0.796 0.857
Cu 0.204 0.061 0.264
Cu 0.205 0.940 0.500
Cu 0.295 0.795 0.734
Cu 0.296 0.561 0.857
Cu 0.439 0.296 0.736
Cu 0.440 0.705 0.500
Cu 0.500 0.000 0.500
Cu 0.560 0.295 0.500
Cu 0.561 0.704 0.264
Cu 0.704 0.439 0.143
Cu 0.705 0.205 0.266
Cu 0.795 0.060 0.500
Cu 0.796 0.939 0.736
Cu 0.939 0.204 0.143
Cu 0.940 0.440 0.734
As 0.051 0.197 0.500
As 0.197 0.697 0.146
As 0.303 0.449 0.500
As 0.449 0.949 0.146
As 0.551 0.051 0.854
As 0.697 0.551 0.500
As 0.803 0.303 0.854
As 0.949 0.803 0.500

The value obtained for the electronic total energy is -113.74 eV/cell. The space-group type is No. 140.


Here is a relaxed structure of KCu2As from Alexandria via LeMat-Bulk. Energies are from PBE.

Cell: 4.507 4.507 3.775 Å, 90.00 90.00 90.00°
Atoms (fractional coordinates):
K 0.000 0.000 0.000
Cu 0.000 0.500 0.500
Cu 0.500 0.000 0.500
As 0.500 0.500 0.000

The value obtained for the electronic total energy is -11.99 eV/cell. The space-group type is No. 123.


Here is a relaxed structure of KMg2Cu2As2 from Alexandria via LeMat-Bulk. Energies are from PBE.

Cell: 9.274 9.274 9.274 Å, 27.14 27.14 27.14°
Atoms (fractional coordinates):
K 0.000 0.000 0.000
Mg 0.138 0.138 0.138
Mg 0.862 0.862 0.862
Cu 0.450 0.450 0.450
Cu 0.550 0.550 0.550
As 0.244 0.244 0.244
As 0.756 0.756 0.756

The value obtained for the electronic total energy is -24.09 eV/cell. The space-group type is No. 166.


Here is a relaxed structure of K2MgCuAs2 from Alexandria via LeMat-Bulk. Energies are from PBE.

Cell: 9.074 9.074 9.074 Å, 140.18 58.08 139.53°
Atoms (fractional coordinates):
K 0.173 0.247 0.421
K 0.327 0.747 0.074
K 0.673 0.253 0.926
K 0.827 0.753 0.579
Mg 0.250 0.750 0.500
Mg 0.750 0.250 0.500
Cu 0.250 0.250 0.000
Cu 0.750 0.750 0.000
As 0.091 0.769 0.860
As 0.409 0.269 0.678
As 0.591 0.731 0.322
As 0.909 0.231 0.140

The value obtained for the electronic total energy is -39.31 eV/cell. The space-group type is No. 72.


Here is a relaxed structure of KMnCu2As from Alexandria via LeMat-Bulk. Energies are from PBE.

Cell: 4.753 4.753 4.750 Å, 90.00 90.00 90.00°
Atoms (fractional coordinates):
K 0.000 0.000 0.000
Mn 0.500 0.500 0.000
Cu 0.000 0.500 0.500
Cu 0.500 0.000 0.500
As 0.500 0.500 0.500

The value obtained for the electronic total energy is -21.33 eV/cell. The space-group type is No. 123.